First-principles (GGA-PBE) data for an optimized crystal structure of AlBiSbTe2, as listed in Alexandria via LeMat-Bulk.

```
AlBiSbTe2
1.0
5.3060 0.0000 0.0000
0.0000 5.3060 0.0000
0.0000 0.0000 5.3549
Al Bi Sb Te
1 1 1 2
Cartesian
0.0000 0.0000 0.0000
2.6530 2.6530 2.6775
0.0000 0.0000 2.6775
0.0000 2.6530 0.0000
2.6530 0.0000 0.0000
```

Summary:
Its density of states at the Fermi level is 0.804 states/eV/atom. Its energy above the most stable polymorph in this dataset is 0 meV per atom. The formation energy (no corrections) comes out at 287 meV per atom. As for the spin magnetization: 0.0 μB per formula unit. Its space group is P4/mmm, No. 123.

First-principles (GGA-PBE) data for an optimized crystal structure of Nd4DyHo10, as listed in Alexandria via LeMat-Bulk.

```
Nd4DyHo10
1.0
-5.6318 5.6318 3.9748
5.6318 -5.6318 3.9748
5.6318 5.6318 -3.9748
Nd Dy Ho
4 1 10
Cartesian
2.5662 2.5662 0.0000
3.0656 -3.0656 3.9748
-3.0656 3.0656 3.9748
3.0656 3.0656 3.9748
0.0000 0.0000 0.0000
5.6318 3.2871 -1.6408
5.6318 0.0000 1.9874
3.2871 5.6318 -1.6408
2.3447 0.0000 2.3340
5.6318 3.2871 1.6408
0.0000 2.3447 2.3340
3.2871 5.6318 1.6408
2.3447 0.0000 5.6156
0.0000 5.6318 1.9874
0.0000 2.3447 5.6156
```

Summary:
Its density of states at the Fermi level is 1.423 states/eV/atom. As for the spin magnetization: 0.0 μB per formula unit. Its space group is I4/mmm, No. 139. As for the formation energy: 0.27 eV/atom.

First-principles (GGA-PBE) data for an optimized crystal structure of KTl2Fe2, as listed in Alexandria via LeMat-Bulk.

```
KTl2Fe2
1.0
-2.5865 2.5865 4.5574
2.5865 -2.5865 4.5574
2.5865 2.5865 -4.5574
K Tl Fe
1 2 2
Cartesian
0.0000 0.0000 0.0000
2.5865 0.0000 2.2787
0.0000 2.5865 2.2787
0.0000 0.0000 3.4731
0.0000 0.0000 5.6418
```

Summary:
Its density of states at the Fermi level is 1.108 states/eV/atom. Its energy above the most stable polymorph in this dataset is 69 meV per atom. As for the spin magnetization: 4.9 μB per formula unit. Its space group is I4/mmm, No. 139. As for the formation energy: 0.59 eV/atom.

First-principles (GGA-PBE) data for an optimized crystal structure of CaAc2SnPt6, as listed in Alexandria via LeMat-Bulk.

```
CaAc2SnPt6
1.0
0.0000 5.0493 5.0493
5.0493 0.0000 5.0493
5.0493 5.0493 0.0000
Ca Ac Sn Pt
1 2 1 6
Cartesian
0.0000 0.0000 0.0000
2.5246 2.5246 2.5246
7.5739 7.5739 7.5739
5.0493 5.0493 5.0493
5.0493 5.0493 2.5468
5.0493 2.5468 5.0493
7.5518 5.0493 5.0493
2.5468 5.0493 5.0493
5.0493 7.5518 5.0493
5.0493 5.0493 7.5518
```

Summary:
Its density of states at the Fermi level is 0.492 states/eV/atom. As for the spin magnetization: 0.0 μB per formula unit. Its space group is Fm-3m, No. 225. As for the formation energy: -0.18 eV/atom.

First-principles (GGA-PBE) data for an optimized crystal structure of TaMnRh2, as listed in Alexandria via LeMat-Bulk.

```
TaMnRh2
1.0
3.2337 0.0000 0.0000
0.0000 3.2337 0.0000
0.0000 0.0000 5.7026
Ta Mn Rh
1 1 2
Cartesian
0.0000 0.0000 0.0000
1.6169 1.6169 1.5814
0.0000 0.0000 2.6598
1.6169 1.6169 4.3519
```

Summary:
Its density of states at the Fermi level is 0.905 states/eV/atom. As for the spin magnetization: 2.3 μB per formula unit. Its space group is P4mm, No. 99. As for the formation energy: -0.20 eV/atom.

First-principles (GGA-PBE) data for an optimized crystal structure of HfOsI2O, as listed in Alexandria via LeMat-Bulk.

```
HfOsI2O
1.0
5.7950 0.0000 0.0000
0.0000 5.7950 0.0000
0.0000 0.0000 3.9188
Hf Os I O
1 1 2 1
Cartesian
0.0000 0.0000 0.0000
2.8975 2.8975 1.9594
0.0000 2.8975 0.0000
2.8975 0.0000 0.0000
0.0000 0.0000 1.9594
```

Summary:
Its density of states at the Fermi level is 0.690 states/eV/atom. Its energy above the most stable polymorph in this dataset is 0 meV per atom. The formation energy (no corrections) comes out at 169 meV per atom. As for the spin magnetization: 3.9 μB per formula unit. Its space group is P4/mmm, No. 123.

First-principles (GGA-PBE) data for an optimized crystal structure of LiCaRh2, as listed in Alexandria via LeMat-Bulk.

```
LiCaRh2
1.0
1.4934 0.8622 8.5516
-1.4934 0.8622 8.5516
0.0000 -1.7244 8.5516
Li Ca Rh
1 1 2
Cartesian
0.0000 0.0000 0.0000
0.0000 0.0000 12.8274
0.0000 0.0000 6.5370
0.0000 0.0000 19.1177
```

Summary:
Its density of states at the Fermi level is 0.649 states/eV/atom. As for the spin magnetization: 0.5 μB per formula unit. Its space group is R-3m, No. 166. As for the formation energy: 0.04 eV/atom.

First-principles (GGA-PBE) data for an optimized crystal structure of TiS5Cl2O6, as listed in Alexandria via LeMat-Bulk.

```
TiS5Cl2O6
1.0
5.8062 0.0000 0.0000
-0.2826 9.9244 0.0000
-0.6782 -1.4029 9.8800
Ti S Cl O
2 10 4 12
Cartesian
0.9302 1.8312 3.6402
3.9152 6.6903 6.2398
-0.1547 6.4933 3.4406
-0.1247 5.9543 8.7842
0.9812 8.1839 2.4021
2.0924 6.5511 3.5464
1.9499 5.8729 8.8589
2.8954 2.6486 1.0212
2.7530 1.9704 6.3337
3.8642 0.3376 7.4779
4.9701 2.5672 1.0959
5.0001 2.0282 6.4394
1.2007 5.7105 1.1695
1.2680 -0.0568 9.1687
3.5774 8.5783 0.7114
3.6447 2.8110 8.7105
-0.3716 1.2954 5.1707
-0.4960 6.9434 7.6191
0.8975 3.4552 3.8930
0.8716 9.3226 3.3387
2.4751 1.8314 2.2241
2.4726 1.2991 4.9979
2.3728 7.2224 4.8821
2.3703 6.6901 7.6559
3.9738 -0.8011 6.5414
3.9479 5.0663 5.9870
5.3414 1.5781 2.2609
5.2170 7.2261 4.7094
```

Summary:
Its energy above the most stable polymorph in this dataset is 0 meV per atom. The formation energy (no corrections) comes out at -946 meV per atom. As for the spin magnetization: 0.0 μB per formula unit. Its space group is P-1, No. 2.

First-principles (GGA-PBE) data for an optimized crystal structure of Ac3Mg4Pb4, as listed in Alexandria via LeMat-Bulk.

```
Ac3Mg4Pb4
1.0
4.6910 0.0000 0.0000
0.0000 4.9028 0.0000
-2.2770 -2.4352 14.8727
Ac Mg Pb
3 4 4
Cartesian
0.0000 0.0000 0.0000
0.0266 2.4528 4.2975
2.3875 0.0149 10.5752
0.0505 0.0093 7.4673
0.2485 2.4700 12.0651
2.1655 -0.0024 2.8076
2.3635 2.4583 7.4054
0.0183 2.4619 9.2235
-0.1938 0.0166 13.3731
2.6078 2.4510 1.4996
2.3958 0.0058 5.6492
```

Summary:
Its density of states at the Fermi level is 0.519 states/eV/atom. Its energy above the most stable polymorph in this dataset is 29 meV per atom. As for the spin magnetization: 0.0 μB per formula unit. Its space group is P-1, No. 2. As for the formation energy: -0.34 eV/atom.

First-principles (GGA-PBE) data for an optimized crystal structure of Rb2MoAu, as listed in Alexandria via LeMat-Bulk.

```
Rb2MoAu
1.0
0.0000 4.2893 4.2893
4.2893 0.0000 4.2893
4.2893 4.2893 0.0000
Rb Mo Au
2 1 1
Cartesian
2.1447 2.1447 2.1447
6.4340 6.4340 6.4340
0.0000 0.0000 0.0000
4.2893 4.2893 4.2893
```

Summary:
Its density of states at the Fermi level is 0.116 states/eV/atom. Its energy above the most stable polymorph in this dataset is 171 meV per atom. As for the spin magnetization: 5.1 μB per formula unit. Its space group is Fm-3m, No. 225. As for the formation energy: 1.10 eV/atom.

First-principles (GGA-PBE) data for an optimized crystal structure of Ca2AgP, as listed in Alexandria via LeMat-Bulk.

```
Ca2AgP
1.0
3.4992 0.0000 0.0000
0.0000 3.6999 0.0000
0.0000 0.0000 7.2557
Ca Ag P
2 1 1
Cartesian
0.0000 0.0000 1.5786
0.0000 0.0000 5.6771
1.7496 1.8499 3.6278
1.7496 1.8499 0.0000
```

Summary:
Its density of states at the Fermi level is 0.258 states/eV/atom. As for the spin magnetization: 0.0 μB per formula unit. Its space group is Pmmm, No. 47. As for the formation energy: -0.65 eV/atom.

First-principles (GGA-PBE) data for an optimized crystal structure of TaCdAu2, as listed in Alexandria via LeMat-Bulk.

```
TaCdAu2
1.0
3.0160 0.0000 0.0000
0.0000 3.0160 0.0000
0.0000 0.0000 8.1483
Ta Cd Au
1 1 2
Cartesian
0.0000 0.0000 0.0000
0.0000 0.0000 4.0741
1.5080 1.5080 1.9244
1.5080 1.5080 6.2239
```

Summary:
Its density of states at the Fermi level is 0.627 states/eV/atom. As for the spin magnetization: 0.0 μB per formula unit. Its space group is P4/mmm, No. 123. As for the formation energy: -0.11 eV/atom.

First-principles (GGA-PBE) data for an optimized crystal structure of Cs2BaLi2, as listed in Alexandria via LeMat-Bulk.

```
Cs2BaLi2
1.0
11.2248 0.0000 0.0000
0.0000 11.2248 0.0000
0.0000 0.0000 4.2129
Cs Ba Li
4 2 4
Cartesian
1.4584 4.1540 0.0000
4.1540 9.7664 0.0000
7.0708 1.4584 0.0000
9.7664 7.0708 0.0000
0.0000 0.0000 0.0000
5.6124 5.6124 0.0000
1.9892 7.6015 2.1065
3.6232 1.9892 2.1065
7.6015 9.2356 2.1065
9.2356 3.6232 2.1065
```

Summary:
Its density of states at the Fermi level is 0.658 states/eV/atom. Its energy above the most stable polymorph in this dataset is 53 meV per atom. As for the spin magnetization: 0.2 μB per formula unit. Its space group is P4/mbm, No. 127. As for the formation energy: 0.27 eV/atom.

First-principles (GGA-PBE) data for an optimized crystal structure of Tc2AsPb, as listed in Alexandria via LeMat-Bulk.

```
Tc2AsPb
1.0
-1.5703 2.6632 4.2865
1.5703 -2.6632 4.2865
1.5703 2.6632 -4.2865
Tc As Pb
2 1 1
Cartesian
0.0000 0.0000 1.8824
0.0000 0.0000 6.6907
1.5703 0.0000 0.0000
0.0000 2.6632 0.0000
```

Summary:
Its density of states at the Fermi level is 1.023 states/eV/atom. Its energy above the most stable polymorph in this dataset is 373 meV per atom. As for the spin magnetization: 0.0 μB per formula unit. Its space group is Immm, No. 71. As for the formation energy: 0.51 eV/atom.

First-principles (GGA-PBE) data for an optimized crystal structure of Hg3TeSe, as listed in Alexandria via LeMat-Bulk.

```
Hg3TeSe
1.0
4.3962 0.0000 0.0000
-2.1869 8.1999 0.0000
-0.0111 -2.8786 9.4417
Hg Te Se
6 2 2
Cartesian
0.0010 0.1687 2.5813
-0.0013 1.4363 5.4240
0.0102 6.0302 0.4236
2.1881 -0.7089 9.0180
2.1995 3.8850 4.0177
2.1972 5.1526 6.8604
0.0008 2.6615 1.2926
2.1974 2.6598 8.1490
0.0123 6.8599 2.8951
2.1859 -1.5386 6.5465
```

Summary:
Its density of states at the Fermi level is 0.011 states/eV/atom. Its energy above the most stable polymorph in this dataset is 0 meV per atom. The formation energy (no corrections) comes out at -102 meV per atom. As for the spin magnetization: 0.0 μB per formula unit. Its space group is P-1, No. 2.

First-principles (GGA-PBE) data for an optimized crystal structure of Er4TmTh4, as listed in Alexandria via LeMat-Bulk.

```
Er4TmTh4
1.0
-5.3099 5.3099 2.5065
5.3099 -5.3099 2.5065
5.3099 5.3099 -2.5065
Er Tm Th
4 1 4
Cartesian
3.5020 0.0000 0.0000
7.1178 0.0000 0.0000
0.0000 3.5020 0.0000
0.0000 7.1178 0.0000
0.0000 0.0000 0.0000
3.5525 3.5525 0.0000
1.7574 -1.7574 2.5065
-1.7574 1.7574 2.5065
1.7574 1.7574 2.5065
```

Summary:
Its density of states at the Fermi level is 1.578 states/eV/atom. As for the spin magnetization: 0.0 μB per formula unit. Its space group is I4/mmm, No. 139. As for the formation energy: 0.04 eV/atom.

First-principles (GGA-PBE) data for an optimized crystal structure of Li12Cd5Ni3, as listed in Alexandria via LeMat-Bulk.

```
Li12Cd5Ni3
1.0
-7.5367 7.5367 7.5367
7.5367 -7.5367 7.5367
7.5367 7.5367 -7.5367
Li Cd Ni
48 20 12
Cartesian
7.4103 -1.3457 2.3134
11.4314 -1.4549 2.4226
2.3134 -0.1264 1.3457
8.9916 5.1141 -3.8947
9.8501 0.1264 1.3457
8.9916 -2.4226 3.8947
1.3457 2.3134 -0.1264
9.9593 3.6420 -1.4549
5.1141 3.8947 -1.4549
6.1909 2.3134 0.1264
-0.1264 1.3457 2.3134
3.8947 -1.4549 5.1141
7.4103 6.1909 -2.3134
3.8947 1.4549 2.4226
6.1909 -2.3134 7.4103
5.1141 -3.8947 8.9916
2.4226 3.8947 1.4549
8.8824 5.2232 0.1264
2.3134 7.4103 -1.3457
8.9916 2.4226 3.6420
1.4549 2.4226 3.8947
2.3134 0.1264 6.1909
3.8947 8.9916 -2.4226
7.4103 1.3457 5.2232
0.1264 6.1909 2.3134
3.6420 -1.4549 9.9593
5.2232 7.4103 1.3457
6.0818 5.1141 3.6420
-1.4549 5.1141 3.8947
5.2232 0.1264 8.8824
-1.3457 2.3134 7.4103
5.1141 3.6420 6.0818
2.4226 11.4314 -1.4549
1.3457 9.8501 0.1264
3.6420 6.0818 5.1141
0.1264 1.3457 9.8501
3.6420 8.9916 2.4226
7.6630 6.1909 5.2232
1.3457 5.2232 7.4103
2.4226 3.6420 8.9916
-2.4226 3.8947 8.9916
6.1909 5.2232 7.6630
-1.4549 9.9593 3.6420
-2.3134 7.4103 6.1909
-1.4549 2.4226 11.4314
5.2232 7.6630 6.1909
-3.8947 8.9916 5.1141
0.1264 8.8824 5.2232
0.0000 0.0000 0.0000
3.7683 3.7683 -3.7683
3.7683 -3.7683 3.7683
7.5367 0.0000 0.0000
11.3050 1.8842 0.0000
7.5367 -3.7683 5.6525
5.6525 7.5367 -3.7683
5.6525 0.0000 3.7683
3.7683 5.6525 0.0000
7.5367 3.7683 1.8842
-3.7683 3.7683 3.7683
0.0000 7.5367 0.0000
0.0000 0.0000 7.5367
3.7683 3.7683 3.7683
0.0000 3.7683 5.6525
3.7683 1.8842 7.5367
1.8842 7.5367 3.7683
1.8842 0.0000 11.3050
0.0000 11.3050 1.8842
-3.7683 5.6525 7.5367
3.7683 1.8842 0.0000
7.5367 3.7683 -1.8842
1.8842 0.0000 3.7683
9.4208 0.0000 3.7683
0.0000 3.7683 1.8842
3.7683 -1.8842 7.5367
3.7683 9.4208 0.0000
7.5367 3.7683 5.6525
-1.8842 7.5367 3.7683
5.6525 7.5367 3.7683
0.0000 3.7683 9.4208
3.7683 5.6525 7.5367
```

Summary:
Its density of states at the Fermi level is 0.626 states/eV/atom. As for the spin magnetization: 0.0 μB per formula unit. Its space group is Ia-3d, No. 230. As for the formation energy: 0.30 eV/atom.

First-principles (GGA-PBE) data for an optimized crystal structure of Tb4Nd2DyMg, as listed in Alexandria via LeMat-Bulk.

```
Tb4Nd2DyMg
1.0
4.9879 0.0000 0.0000
0.0000 4.9992 0.0000
0.0000 0.0000 10.1717
Tb Nd Dy Mg
4 2 1 1
Cartesian
0.0000 0.0000 2.5325
0.0000 0.0000 7.6393
2.4940 2.4996 2.5329
2.4940 2.4996 7.6389
0.0000 2.4996 0.0000
2.4940 0.0000 5.0859
0.0000 2.4996 5.0859
2.4940 0.0000 0.0000
```

Summary:
Its density of states at the Fermi level is 1.524 states/eV/atom. As for the spin magnetization: 0.0 μB per formula unit. Its space group is Pmmm, No. 47. As for the formation energy: 0.02 eV/atom.

First-principles (GGA-PBE) data for an optimized crystal structure of Mg3Cd3Pd2, as listed in Alexandria via LeMat-Bulk.

```
Mg3Cd3Pd2
1.0
7.3510 0.0000 0.0000
-3.6755 6.3662 0.0000
0.0000 0.0000 3.2892
Mg Cd Pd
3 3 2
Cartesian
-2.1348 3.6975 0.0000
1.5407 2.6686 0.0000
4.2696 0.0000 0.0000
-0.8526 1.4768 1.6446
1.7052 0.0000 1.6446
2.8229 4.8894 1.6446
0.0000 4.2441 1.6446
3.6755 2.1221 1.6446
```

Summary:
Its density of states at the Fermi level is 0.282 states/eV/atom. As for the spin magnetization: 0.0 μB per formula unit. Its space group is P-62m, No. 189. As for the formation energy: -0.41 eV/atom.

First-principles (GGA-PBE) data for an optimized crystal structure of NbCuSbTe2, as listed in Alexandria via LeMat-Bulk.

```
NbCuSbTe2
1.0
5.3599 0.0000 0.0000
0.0000 5.3599 0.0000
0.0000 0.0000 5.4372
Nb Cu Sb Te
1 1 1 2
Cartesian
0.0000 0.0000 0.0000
2.6799 2.6799 2.7186
0.0000 0.0000 2.7186
0.0000 2.6799 0.0000
2.6799 0.0000 0.0000
```

Summary:
Its density of states at the Fermi level is 0.879 states/eV/atom. Its energy above the most stable polymorph in this dataset is 0 meV per atom. The formation energy (no corrections) comes out at 592 meV per atom. As for the spin magnetization: 0.0 μB per formula unit. Its space group is P4/mmm, No. 123.